[1]
CrB2W2 | Alexandria | GGA-PBE | relaxed; DOS(E_F) = 0.65 states/eV per atom; energy of formation from the pure elements = 1.8 eV/f.u.; spin magnetization = 2.63 μB per cell
1.0
-1.816 1.816 4.756
1.816 -1.816 4.756
1.816 1.816 -4.756
Cr B W
1 2 2
direct
0.000 0.000 0.000 Cr
0.414 0.414 0.000 B
0.586 0.586 0.000 B
0.250 0.750 0.500 W
0.750 0.250 0.500 W


[2]
CrBW | Alexandria | GGA-PBE | relaxed; DOS(E_F) = 0.82 states/eV per atom; energy of formation from the pure elements = -0.7 eV/f.u.; spin magnetization = 0.00 μB per cell
1.0
0.000 3.797 3.850
2.290 0.000 3.850
2.290 3.797 0.000
Cr B W
2 2 2
direct
0.174 0.826 0.174 Cr
0.826 0.174 0.826 Cr
0.250 0.250 0.250 B
0.750 0.750 0.750 B
0.334 0.334 0.666 W
0.666 0.666 0.334 W


[3]
CrB3W | Alexandria | GGA-PBE | relaxed; DOS(E_F) = 2.17 states/eV per atom; energy of formation from the pure elements = 8.3 eV/f.u.; spin magnetization = 0.00 μB per cell
1.0
4.050 0.000 0.000
0.000 4.050 0.000
0.000 0.000 4.050
Cr B W
1 3 1
direct
0.000 0.000 0.000 Cr
0.000 0.500 0.500 B
0.500 0.000 0.500 B
0.500 0.500 0.000 B
0.500 0.500 0.500 W


[4]
CrB3W | Alexandria | GGA-PBE | relaxed; DOS(E_F) = 0.58 states/eV per atom; energy of formation from the pure elements = -1.5 eV/f.u.; spin magnetization = 1.28 μB per cell
1.0
1.584 -9.186 0.000
1.584 9.186 0.000
0.000 0.000 3.005
Cr B W
2 6 2
direct
0.202 0.798 0.750 Cr
0.798 0.202 0.250 Cr
0.321 0.679 0.750 B
0.375 0.625 0.250 B
0.475 0.525 0.250 B
0.525 0.475 0.750 B
0.625 0.375 0.750 B
0.679 0.321 0.250 B
0.075 0.925 0.250 W
0.925 0.075 0.750 W


[5]
CrB2W2 | Alexandria | GGA-PBE | relaxed; DOS(E_F) = 0.53 states/eV per atom; energy of formation from the pure elements = 0.4 eV/f.u.; spin magnetization = 0.00 μB per cell
1.0
2.250 -6.066 0.000
2.250 6.066 0.000
0.000 0.000 4.129
Cr B W
2 4 4
direct
0.000 0.000 0.000 Cr
0.000 0.000 0.500 Cr
0.087 0.351 0.250 B
0.351 0.087 0.750 B
0.649 0.913 0.250 B
0.913 0.649 0.750 B
0.216 0.784 0.250 W
0.417 0.583 0.750 W
0.583 0.417 0.250 W
0.784 0.216 0.750 W


[6]
CrBW2 | Alexandria | GGA-PBE | relaxed; DOS(E_F) = 0.92 states/eV per atom; energy of formation from the pure elements = 1.7 eV/f.u.; spin magnetization = 0.00 μB per cell
1.0
-3.616 3.616 2.133
3.616 -3.616 2.133
3.616 3.616 -2.133
Cr B W
2 2 4
direct
0.000 0.000 0.000 Cr
0.750 0.250 0.500 Cr
0.250 0.750 0.500 B
0.500 0.500 0.000 B
0.233 0.625 0.108 W
0.375 0.483 0.608 W
0.517 0.125 0.892 W
0.875 0.767 0.392 W